Computed, not measured: Y2ZrRu after structural relaxation at the PBE-GGA level of DFT.

Computed properties:
Energy above the most stable polymorph in this dataset: 0.445 eV per atom
N(E_F): 12.0 states/eV per cell
Total moment: 0.000 μB/f.u.

Cell: 6.175 9.389 3.285 Å, 90.00 106.95 90.00°
Space group C2/m (No. 12)
Symmetry-distinct sites (fractional):
Y: 0.250 0.250 0.000 x4
Zr: 0.000 0.000 0.500 x2
Ru: 0.000 0.500 0.500 x2

---

Computed, not measured: Pr2GeO after structural relaxation at the PBE-GGA level of DFT.

Computed properties:
Raw formation energy: -1655.6 meV/atom
Energy above the most stable polymorph in this dataset: 0.000 eV per atom
N(E_F): 2.5 states/eV per cell
Total moment: 0.000 μB/f.u.

Cell: 6.025 5.942 12.374 Å, 90.00 116.22 90.00°
Space group P2/c (No. 13)
Symmetry-distinct sites (fractional):
Pr: 0.098 0.217 0.108 x4
Pr: 0.315 0.237 0.859 x4
Ge: 0.387 0.264 0.375 x4
O: 0.051 0.176 0.623 x4